# PBE-GGA Al2TlRh2, optimized geometry
# - energy relative to the lowest polymorph listed for this composition (kJ per mole of atoms) = 27.5
# - formation energy (meV/atom) = -277
data_Al2TlRh2
_space_group_name_H-M_alt 'P 1'
_space_group_IT_number 1
_space_group_name_Hall 'P 1'
_cell_length_a 4.216
_cell_length_b 4.216
_cell_length_c 5.981
_cell_angle_alpha 69.37
_cell_angle_beta 69.37
_cell_angle_gamma 90.00
loop_
_atom_site_label
_atom_site_type_symbol
_atom_site_fract_x
_atom_site_fract_y
_atom_site_fract_z
Tl1 Tl 0.000 0.000 0.000
Rh1 Rh 0.750 0.250 0.500
Rh2 Rh 0.250 0.750 0.500
Al1 Al 0.371 0.371 0.258
Al2 Al 0.629 0.629 0.742